! FeSb2Au, single point on PBEsol structure, DFT meta-GGA SCAN; values from VASP
&SYSTEM
  ibrav = 0, nat = 4, ntyp = 3
/
ATOMIC_SPECIES
Au 196.97 Au.upf
Fe 55.84 Fe.upf
Sb 121.76 Sb.upf
ATOMIC_POSITIONS crystal
Au 0.000 0.500 0.000
Fe 0.500 0.000 0.000
Sb 0.749 0.749 0.498
Sb 0.251 0.251 0.502
CELL_PARAMETERS angstrom
4.494 0.000 0.000
0.000 4.476 0.000
-2.247 -2.238 3.849
! Energy   -40.076 eV per atom
! Formation energy (no corrections)   0.38 eV per atom

! Fe4SbAu, single point on PBEsol structure, DFT meta-GGA SCAN; values from VASP
&SYSTEM
  ibrav = 0, nat = 6, ntyp = 3
/
ATOMIC_SPECIES
Au 196.97 Au.upf
Fe 55.84 Fe.upf
Sb 121.76 Sb.upf
ATOMIC_POSITIONS crystal
Au 0.000 0.000 0.000
Fe 0.375 0.375 0.375
Fe 0.375 0.375 0.876
Fe 0.876 0.375 0.375
Fe 0.375 0.876 0.375
Sb 0.750 0.750 0.750
CELL_PARAMETERS angstrom
-2.363 -4.233 0.497
2.241 -4.185 -1.101
1.263 -3.094 3.547
! Energy   -29.681 eV per atom
! Formation energy (no corrections)   0.14 eV per atom

! FeSbAu2, single point on PBEsol structure, DFT meta-GGA SCAN; values from VASP
&SYSTEM
  ibrav = 0, nat = 4, ntyp = 3
/
ATOMIC_SPECIES
Au 196.97 Au.upf
Fe 55.84 Fe.upf
Sb 121.76 Sb.upf
ATOMIC_POSITIONS crystal
Au 0.000 0.500 0.000
Au 0.500 0.000 0.000
Fe 0.500 0.500 0.500
Sb 0.000 0.000 0.500
CELL_PARAMETERS angstrom
4.004 0.000 0.000
0.000 4.004 0.000
0.000 0.000 4.301
! Energy   -48.247 eV per atom
! Formation energy (no corrections)   0.18 eV per atom

! FeSbTe2Au, single point on PBEsol structure, DFT meta-GGA SCAN; values from VASP
&SYSTEM
  ibrav = 0, nat = 5, ntyp = 4
/
ATOMIC_SPECIES
Sb 121.76 Sb.upf
Te 127.60 Te.upf
Au 196.97 Au.upf
Fe 55.84 Fe.upf
ATOMIC_POSITIONS crystal
Sb 0.500 0.000 0.000
Te 0.000 0.000 0.500
Te 0.000 0.500 0.000
Au 0.000 0.000 0.000
Fe 0.500 0.500 0.500
CELL_PARAMETERS angstrom
5.192 0.000 0.000
0.000 5.373 0.000
0.000 0.000 5.373
! Energy   -38.876 eV per atom
! Formation energy (no corrections)   0.93 eV per atom

! ScFe2Au, single point on PBEsol structure, DFT meta-GGA SCAN; values from VASP
&SYSTEM
  ibrav = 0, nat = 4, ntyp = 3
/
ATOMIC_SPECIES
Au 196.97 Au.upf
Fe 55.84 Fe.upf
Sc 44.96 Sc.upf
ATOMIC_POSITIONS crystal
Au 0.500 0.500 0.770
Fe 0.000 0.000 0.033
Fe 0.500 0.500 0.215
Sc 0.000 0.000 0.482
CELL_PARAMETERS angstrom
-2.756 -0.527 -1.363
1.421 -0.284 -2.763
0.670 -5.987 0.960
! Calculated formation energy   -0.290 eV per atom
! Energy   -30.204 eV per atom

! FeAuSe2, single point on PBEsol structure, DFT meta-GGA SCAN; values from VASP
&SYSTEM
  ibrav = 0, nat = 4, ntyp = 3
/
ATOMIC_SPECIES
Au 196.97 Au.upf
Fe 55.84 Fe.upf
Se 78.96 Se.upf
ATOMIC_POSITIONS crystal
Au 0.500 0.500 0.000
Fe 0.250 0.750 0.500
Se 0.000 0.000 0.000
Se 0.750 0.250 0.500
CELL_PARAMETERS angstrom
3.582 0.000 0.000
0.000 3.582 0.000
-1.791 -1.791 6.205
! Energy   -31.621 eV per atom
! Formation energy (no corrections)   0.24 eV per atom

! FeAuSe2, single point on PBEsol structure, DFT meta-GGA SCAN; values from VASP
&SYSTEM
  ibrav = 0, nat = 4, ntyp = 3
/
ATOMIC_SPECIES
Au 196.97 Au.upf
Fe 55.84 Fe.upf
Se 78.96 Se.upf
ATOMIC_POSITIONS crystal
Au 0.500 0.000 0.000
Fe 0.000 0.500 0.000
Se 0.652 0.652 0.305
Se 0.348 0.348 0.695
CELL_PARAMETERS angstrom
-0.960 2.498 2.023
-3.095 1.049 -2.764
-1.414 -5.171 2.934
! Energy   -31.934 eV per atom
! Formation energy (no corrections)   -0.07 eV per atom

! FeAuSe2, single point on PBEsol structure, DFT meta-GGA SCAN; values from VASP
&SYSTEM
  ibrav = 0, nat = 4, ntyp = 3
/
ATOMIC_SPECIES
Au 196.97 Au.upf
Fe 55.84 Fe.upf
Se 78.96 Se.upf
ATOMIC_POSITIONS crystal
Au 0.500 0.500 0.000
Fe 0.000 0.000 0.500
Se 0.000 0.000 0.000
Se 0.500 0.500 0.500
CELL_PARAMETERS angstrom
-3.062 -1.590 -1.398
1.756 -3.282 -0.112
-1.687 -1.068 4.911
! Energy   -31.876 eV per atom
! Formation energy (no corrections)   -0.01 eV per atom

! FeAuSe, single point on PBEsol structure, DFT meta-GGA SCAN; values from VASP
&SYSTEM
  ibrav = 0, nat = 3, ntyp = 3
/
ATOMIC_SPECIES
Au 196.97 Au.upf
Fe 55.84 Fe.upf
Se 78.96 Se.upf
ATOMIC_POSITIONS crystal
Au 0.027 0.027 0.054
Fe 0.685 0.685 0.370
Se 0.288 0.288 0.577
CELL_PARAMETERS angstrom
2.814 0.000 0.000
0.000 2.814 0.000
-1.407 -1.407 6.051
! Energy   -35.480 eV per atom
! Formation energy (no corrections)   0.31 eV per atom

! FeSiAu2, single point on PBEsol structure, DFT meta-GGA SCAN; values from VASP
&SYSTEM
  ibrav = 0, nat = 4, ntyp = 3
/
ATOMIC_SPECIES
Au 196.97 Au.upf
Fe 55.84 Fe.upf
Si 28.09 Si.upf
ATOMIC_POSITIONS crystal
Au 0.992 0.992 0.024
Au 0.758 0.758 0.727
Fe 0.509 0.509 0.472
Si 0.241 0.241 0.278
CELL_PARAMETERS angstrom
-1.172 -2.148 1.430
0.559 -2.675 -0.752
6.326 -1.705 5.430
! Energy   -41.528 eV per atom
! Formation energy (no corrections)   0.09 eV per atom

! FeSiAu2, single point on PBEsol structure, DFT meta-GGA SCAN; values from VASP
&SYSTEM
  ibrav = 0, nat = 4, ntyp = 3
/
ATOMIC_SPECIES
Au 196.97 Au.upf
Fe 55.84 Fe.upf
Si 28.09 Si.upf
ATOMIC_POSITIONS crystal
Au 0.000 0.500 0.000
Au 0.500 0.000 0.000
Fe 0.500 0.500 0.500
Si 0.000 0.000 0.500
CELL_PARAMETERS angstrom
-1.540 -3.086 -1.878
2.892 -2.276 1.370
-2.124 -0.830 3.104
! Energy   -41.505 eV per atom
! Formation energy (no corrections)   0.11 eV per atom

! FeSiAu2, single point on PBEsol structure, DFT meta-GGA SCAN; values from VASP
&SYSTEM
  ibrav = 0, nat = 4, ntyp = 3
/
ATOMIC_SPECIES
Au 196.97 Au.upf
Fe 55.84 Fe.upf
Si 28.09 Si.upf
ATOMIC_POSITIONS crystal
Au 0.854 0.000 0.743
Au 0.146 0.000 0.257
Fe 0.500 0.500 0.000
Si 0.500 0.500 0.500
CELL_PARAMETERS angstrom
-0.617 2.678 0.768
-2.775 0.245 -3.082
-3.371 -2.938 2.801
! Energy   -41.501 eV per atom
! Formation energy (no corrections)   0.11 eV per atom

! Fe2SiAu, single point on PBEsol structure, DFT meta-GGA SCAN; values from VASP
&SYSTEM
  ibrav = 0, nat = 4, ntyp = 3
/
ATOMIC_SPECIES
Au 196.97 Au.upf
Fe 55.84 Fe.upf
Si 28.09 Si.upf
ATOMIC_POSITIONS crystal
Au 0.000 0.000 0.000
Fe 0.750 0.250 0.500
Fe 0.250 0.750 0.500
Si 0.500 0.500 0.000
CELL_PARAMETERS angstrom
-0.246 -2.215 2.884
3.368 -1.230 -0.657
-0.097 4.517 1.158
! Energy   -29.000 eV per atom
! Formation energy (no corrections)   -0.14 eV per atom

! Fe2SiAu, single point on PBEsol structure, DFT meta-GGA SCAN; values from VASP
&SYSTEM
  ibrav = 0, nat = 4, ntyp = 3
/
ATOMIC_SPECIES
Au 196.97 Au.upf
Fe 55.84 Fe.upf
Si 28.09 Si.upf
ATOMIC_POSITIONS crystal
Au 0.000 0.000 0.000
Fe 0.242 0.242 0.274
Fe 0.758 0.758 0.726
Si 0.500 0.500 0.500
CELL_PARAMETERS angstrom
2.685 0.000 0.000
1.342 2.325 0.000
1.342 0.775 8.171
! Energy   -28.809 eV per atom
! Formation energy (no corrections)   0.05 eV per atom

! FeSiAu2, single point on PBEsol structure, DFT meta-GGA SCAN; values from VASP
&SYSTEM
  ibrav = 0, nat = 4, ntyp = 3
/
ATOMIC_SPECIES
Au 196.97 Au.upf
Fe 55.84 Fe.upf
Si 28.09 Si.upf
ATOMIC_POSITIONS crystal
Au 0.824 0.000 0.647
Au 0.174 0.500 0.349
Fe 0.527 0.000 0.054
Si 0.971 0.500 0.943
CELL_PARAMETERS angstrom
2.749 0.000 0.000
0.000 3.449 0.000
-1.375 0.000 6.149
! Energy   -41.646 eV per atom
! Formation energy (no corrections)   -0.03 eV per atom

! FeTc2SnAu, single point on PBEsol structure, DFT meta-GGA SCAN; values from VASP
&SYSTEM
  ibrav = 0, nat = 5, ntyp = 4
/
ATOMIC_SPECIES
Fe 55.84 Fe.upf
Au 196.97 Au.upf
Sn 118.71 Sn.upf
Tc 98.00 Tc.upf
ATOMIC_POSITIONS crystal
Fe 0.000 0.000 0.000
Au 0.000 0.000 0.500
Sn 0.500 0.500 0.500
Tc 0.000 0.500 0.000
Tc 0.500 0.000 0.000
CELL_PARAMETERS angstrom
4.327 0.000 0.000
0.000 4.327 0.000
0.000 0.000 4.756
! Calculated formation energy   1.106 eV per atom
! Energy   -37.560 eV per atom

! Sr2FeAu, single point on PBEsol structure, DFT meta-GGA SCAN; values from VASP
&SYSTEM
  ibrav = 0, nat = 4, ntyp = 3
/
ATOMIC_SPECIES
Au 196.97 Au.upf
Fe 55.84 Fe.upf
Sr 87.62 Sr.upf
ATOMIC_POSITIONS crystal
Au 0.000 0.000 0.419
Fe 0.500 0.500 0.830
Sr 0.000 0.000 0.909
Sr 0.500 0.500 0.341
CELL_PARAMETERS angstrom
-3.335 -1.553 0.717
2.127 -4.381 0.403
0.856 0.975 6.087
! Calculated formation energy   0.125 eV per atom
! Energy   -32.834 eV per atom

! Sr2FeAu, single point on PBEsol structure, DFT meta-GGA SCAN; values from VASP
&SYSTEM
  ibrav = 0, nat = 4, ntyp = 3
/
ATOMIC_SPECIES
Au 196.97 Au.upf
Fe 55.84 Fe.upf
Sr 87.62 Sr.upf
ATOMIC_POSITIONS crystal
Au 0.500 0.500 0.500
Fe 0.000 0.000 0.000
Sr 0.249 0.249 0.254
Sr 0.751 0.751 0.746
CELL_PARAMETERS angstrom
-3.995 0.620 -0.493
-1.778 -0.904 -3.551
-3.440 -7.712 1.349
! Calculated formation energy   0.139 eV per atom
! Energy   -32.820 eV per atom

! SrFeAu2, single point on PBEsol structure, DFT meta-GGA SCAN; values from VASP
&SYSTEM
  ibrav = 0, nat = 4, ntyp = 3
/
ATOMIC_SPECIES
Au 196.97 Au.upf
Fe 55.84 Fe.upf
Sr 87.62 Sr.upf
ATOMIC_POSITIONS crystal
Au 0.951 0.951 0.145
Au 0.226 0.226 0.323
Fe 0.567 0.567 0.299
Sr 0.756 0.756 0.733
CELL_PARAMETERS angstrom
-1.386 3.447 -2.410
-0.947 -0.536 -4.292
-5.869 -0.193 -0.961
! Calculated formation energy   -0.400 eV per atom
! Energy   -45.080 eV per atom

! SrFeAu, single point on PBEsol structure, DFT meta-GGA SCAN; values from VASP
&SYSTEM
  ibrav = 0, nat = 3, ntyp = 3
/
ATOMIC_SPECIES
Au 196.97 Au.upf
Fe 55.84 Fe.upf
Sr 87.62 Sr.upf
ATOMIC_POSITIONS crystal
Au 0.000 0.000 0.000
Fe 0.500 0.500 0.500
Sr 0.750 0.750 0.750
CELL_PARAMETERS angstrom
-0.665 2.307 4.248
-0.133 -2.543 4.162
3.676 0.347 3.189
! Calculated formation energy   0.586 eV per atom
! Energy   -35.935 eV per atom

The M_tot results, record by record, are as follows: 2.67; 10.82; 3.16; 3.55; 5.10; 4.01; 2.78; 3.84; 0.00; 2.19; 2.97; 3.10; 5.58; 4.83; 1.96; 2.07; 2.60; 2.54; 2.83; 3.27 μB per formula unit.
The N(E_F) results, record by record, are as follows: 0.5090; 0.6528; 0.4228; 0.9247; 0.5735; 1.0550; 0.3907; 0.4560; 0.7345; 0.5071; 0.4603; 0.4541; 0.2943; 0.5214; 0.3758; 0.8160; 0.6204; 1.2210; 0.5152; 0.4916 states/eV per atom.